Record 1
BaCo2I | PBE-GGA | optimized geometry

Lattice parameters (Å, degrees): 7.070 7.070 7.070 90.00 90.00 90.00
Fractional coordinates of all 16 atoms:
1 Ba 0.000 0.000 0.000
2 Ba 0.000 0.500 0.500
3 Ba 0.500 0.000 0.500
4 Ba 0.500 0.500 0.000
5 Co 0.250 0.250 0.250
6 Co 0.250 0.250 0.750
7 Co 0.250 0.750 0.250
8 Co 0.250 0.750 0.750
9 Co 0.750 0.250 0.250
10 Co 0.750 0.250 0.750
11 Co 0.750 0.750 0.250
12 Co 0.750 0.750 0.750
13 I 0.000 0.000 0.500
14 I 0.000 0.500 0.000
15 I 0.500 0.000 0.000
16 I 0.500 0.500 0.500

Values from the calculation:
ΔE to the lowest computed polymorph, meV/atom: 489

Record 2
BaCoI | PBE-GGA | optimized geometry

Lattice parameters (Å, degrees): 4.224 10.816 7.477 90.00 90.00 90.00
Fractional coordinates of all 12 atoms:
1 Ba 0.000 0.214 0.250
2 Ba 0.000 0.786 0.750
3 Ba 0.500 0.286 0.750
4 Ba 0.500 0.714 0.250
5 Co 0.000 0.070 0.750
6 Co 0.000 0.930 0.250
7 Co 0.500 0.430 0.250
8 Co 0.500 0.570 0.750
9 I 0.000 0.500 0.000
10 I 0.000 0.500 0.500
11 I 0.500 0.000 0.000
12 I 0.500 0.000 0.500

Values from the calculation:
ΔE to the lowest computed polymorph, meV/atom: 546

Record 3
BaCoI | PBE-GGA | optimized geometry

Lattice parameters (Å, degrees): 6.940 6.940 6.940 90.00 90.00 90.00
Fractional coordinates of all 12 atoms:
1 Ba 0.000 0.000 0.000
2 Ba 0.000 0.500 0.500
3 Ba 0.500 0.000 0.500
4 Ba 0.500 0.500 0.000
5 Co 0.250 0.250 0.250
6 Co 0.250 0.750 0.750
7 Co 0.750 0.250 0.750
8 Co 0.750 0.750 0.250
9 I 0.000 0.000 0.500
10 I 0.000 0.500 0.000
11 I 0.500 0.000 0.000
12 I 0.500 0.500 0.500

Values from the calculation:
ΔE to the lowest computed polymorph, meV/atom: 629

Record 4
Ba3Co5I12 | PBE-GGA | optimized geometry

Lattice parameters (Å, degrees): 15.488 15.488 15.488 109.47 109.47 109.47
Fractional coordinates of all 80 atoms:
1 Ba 0.125 0.250 0.375
2 Ba 0.125 0.375 0.750
3 Ba 0.250 0.375 0.125
4 Ba 0.250 0.875 0.625
5 Ba 0.375 0.125 0.250
6 Ba 0.375 0.750 0.125
7 Ba 0.625 0.250 0.875
8 Ba 0.625 0.875 0.750
9 Ba 0.750 0.125 0.375
10 Ba 0.750 0.625 0.875
11 Ba 0.875 0.625 0.250
12 Ba 0.875 0.750 0.625
13 Co 0.000 0.000 0.000
14 Co 0.000 0.000 0.500
15 Co 0.000 0.500 0.000
16 Co 0.000 0.500 0.500
17 Co 0.125 0.750 0.875
18 Co 0.125 0.875 0.250
19 Co 0.250 0.125 0.875
20 Co 0.250 0.625 0.375
21 Co 0.375 0.250 0.625
22 Co 0.375 0.625 0.750
23 Co 0.500 0.000 0.000
24 Co 0.500 0.000 0.500
25 Co 0.500 0.500 0.000
26 Co 0.500 0.500 0.500
27 Co 0.625 0.375 0.250
28 Co 0.625 0.750 0.375
29 Co 0.750 0.375 0.625
30 Co 0.750 0.875 0.125
31 Co 0.875 0.125 0.750
32 Co 0.875 0.250 0.125
33 I 0.016 0.197 0.110
34 I 0.016 0.319 0.906
35 I 0.087 0.697 0.681
36 I 0.087 0.890 0.406
37 I 0.094 0.610 0.413
38 I 0.094 0.984 0.681
39 I 0.110 0.016 0.197
40 I 0.110 0.594 0.913
41 I 0.181 0.197 0.587
42 I 0.181 0.484 0.594
43 I 0.197 0.110 0.016
44 I 0.197 0.587 0.181
45 I 0.303 0.319 0.913
46 I 0.303 0.484 0.390
47 I 0.319 0.906 0.016
48 I 0.319 0.913 0.303
49 I 0.390 0.303 0.484
50 I 0.390 0.587 0.906
51 I 0.406 0.087 0.890
52 I 0.406 0.819 0.516
53 I 0.413 0.094 0.610
54 I 0.413 0.819 0.803
55 I 0.484 0.390 0.303
56 I 0.484 0.594 0.181
57 I 0.516 0.406 0.819
58 I 0.516 0.610 0.697
59 I 0.587 0.181 0.197
60 I 0.587 0.906 0.390
61 I 0.594 0.181 0.484
62 I 0.594 0.913 0.110
63 I 0.610 0.413 0.094
64 I 0.610 0.697 0.516
65 I 0.681 0.087 0.697
66 I 0.681 0.094 0.984
67 I 0.697 0.516 0.610
68 I 0.697 0.681 0.087
69 I 0.803 0.413 0.819
70 I 0.803 0.890 0.984
71 I 0.819 0.516 0.406
72 I 0.819 0.803 0.413
73 I 0.890 0.406 0.087
74 I 0.890 0.984 0.803
75 I 0.906 0.016 0.319
76 I 0.906 0.390 0.587
77 I 0.913 0.110 0.594
78 I 0.913 0.303 0.319
79 I 0.984 0.681 0.094
80 I 0.984 0.803 0.890

Record 5
BaCoI | PBE-GGA | optimized geometry

Lattice parameters (Å, degrees): 4.362 4.362 9.881 90.00 90.00 120.00
Fractional coordinates of all 6 atoms:
1 Ba 0.000 0.000 0.000
2 Ba 0.000 0.000 0.500
3 Co 0.333 0.667 0.250
4 Co 0.667 0.333 0.750
5 I 0.333 0.667 0.750
6 I 0.667 0.333 0.250

Values from the calculation:
ΔE to the lowest computed polymorph, meV/atom: 290

Record 6
BaCoI | PBE-GGA | optimized geometry

Lattice parameters (Å, degrees): 4.087 5.827 8.821 90.00 90.19 90.00
Fractional coordinates of all 6 atoms:
1 Ba 0.000 0.000 0.000
2 Ba 0.495 0.500 0.628
3 Co 0.498 0.000 0.715
4 Co 0.997 0.000 0.605
5 I 0.500 0.500 0.032
6 I 0.505 0.000 0.375

Values from the calculation:
ΔE to the lowest computed polymorph, meV/atom: 86

Record 7
BaCoI | PBE-GGA | optimized geometry

Lattice parameters (Å, degrees): 5.124 5.124 6.965 90.00 90.00 90.00
Fractional coordinates of all 6 atoms:
1 Ba 0.250 0.250 0.156
2 Ba 0.750 0.750 0.844
3 Co 0.250 0.250 0.652
4 Co 0.750 0.750 0.348
5 I 0.250 0.750 0.500
6 I 0.750 0.250 0.500

Values from the calculation:
ΔE to the lowest computed polymorph, meV/atom: 587

Record 8
BaCo3I | PBE-GGA | optimized geometry

Lattice parameters (Å, degrees): 4.804 4.804 4.804 90.00 90.00 90.00
Fractional coordinates of all 5 atoms:
1 Ba 0.000 0.000 0.000
2 Co 0.000 0.500 0.500
3 Co 0.500 0.000 0.500
4 Co 0.500 0.500 0.000
5 I 0.500 0.500 0.500

Values from the calculation:
ΔE to the lowest computed polymorph, meV/atom: 0

Record 9
Ba3CoI | PBE-GGA | optimized geometry

Lattice parameters (Å, degrees): 5.951 5.951 5.951 90.00 90.00 90.00
Fractional coordinates of all 5 atoms:
1 Ba 0.000 0.000 0.500
2 Ba 0.000 0.500 0.000
3 Ba 0.500 0.000 0.000
4 Co 0.000 0.000 0.000
5 I 0.500 0.500 0.500

Values from the calculation:
ΔE to the lowest computed polymorph, meV/atom: 0

Record 10
BaCo3I | PBE-GGA | optimized geometry

Lattice parameters (Å, degrees): 5.086 5.086 5.086 90.00 90.00 90.00
Fractional coordinates of all 5 atoms:
1 Ba 0.000 0.000 0.000
2 Co 0.000 0.000 0.500
3 Co 0.000 0.500 0.000
4 Co 0.500 0.000 0.000
5 I 0.500 0.500 0.500

Values from the calculation:
ΔE to the lowest computed polymorph, meV/atom: 1108

Record 11
BaCoI | PBE-GGA | optimized geometry

Lattice parameters (Å, degrees): 18.147 4.191 5.525 90.00 98.13 90.00
Fractional coordinates of all 12 atoms:
1 Ba 0.000 0.000 0.000
2 Ba 0.210 0.500 0.459
3 Ba 0.500 0.500 0.000
4 Ba 0.710 0.000 0.459
5 Co 0.126 0.500 0.899
6 Co 0.180 0.000 0.952
7 Co 0.626 0.000 0.899
8 Co 0.680 0.500 0.952
9 I 0.011 0.500 0.505
10 I 0.329 0.000 0.919
11 I 0.511 0.000 0.505
12 I 0.829 0.500 0.919

Values from the calculation:
ΔE to the lowest computed polymorph, meV/atom: 40

Record 12
BaCoI | PBE-GGA | optimized geometry

Lattice parameters (Å, degrees): 13.376 4.267 9.072 90.00 132.27 90.00
Fractional coordinates of all 12 atoms:
1 Ba 0.005 0.000 0.274
2 Ba 0.495 0.500 0.726
3 Ba 0.505 0.500 0.274
4 Ba 0.995 0.000 0.726
5 Co 0.111 0.500 0.612
6 Co 0.389 0.000 0.388
7 Co 0.611 0.000 0.612
8 Co 0.889 0.500 0.388
9 I 0.210 0.500 0.206
10 I 0.290 0.000 0.794
11 I 0.710 0.000 0.206
12 I 0.790 0.500 0.794

Values from the calculation:
ΔE to the lowest computed polymorph, meV/atom: 119

Record 13
BaCoI | PBE-GGA | optimized geometry

Lattice parameters (Å, degrees): 5.827 5.827 9.259 90.00 90.00 120.00
Fractional coordinates of all 6 atoms:
1 Ba 0.333 0.667 0.250
2 Ba 0.667 0.333 0.750
3 Co 0.000 0.000 0.000
4 Co 0.000 0.000 0.500
5 I 0.000 0.000 0.250
6 I 0.000 0.000 0.750

Values from the calculation:
ΔE to the lowest computed polymorph, meV/atom: 779

Record 14
BaCoI | PBE-GGA | optimized geometry

Lattice parameters (Å, degrees): 4.166 4.687 10.565 90.07 101.34 90.00
Fractional coordinates of all 6 atoms:
1 Ba 0.000 0.000 0.000
2 Ba 0.258 0.499 0.512
3 Co 0.434 0.500 0.867
4 Co 0.889 0.499 0.775
5 I 0.647 0.999 0.293
6 I 0.834 0.999 0.664

Values from the calculation:
ΔE to the lowest computed polymorph, meV/atom: 87

Record 15
BaCoI | PBE-GGA | optimized geometry

Lattice parameters (Å, degrees): 4.329 4.330 13.723 81.14 81.34 60.02
Fractional coordinates of all 6 atoms:
1 Ba 0.055 0.059 0.322
2 Ba 0.945 0.941 0.678
3 Co 0.333 0.333 0.500
4 Co 0.667 0.667 0.500
5 I 0.226 0.219 0.846
6 I 0.774 0.781 0.154

Values from the calculation:
ΔE to the lowest computed polymorph, meV/atom: 0

Record 16
BaCo2I | PBE-GGA | optimized geometry

Lattice parameters (Å, degrees): 5.016 5.016 16.644 90.00 90.00 90.00
Fractional coordinates of all 16 atoms:
1 Ba 0.000 0.250 0.375
2 Ba 0.000 0.750 0.625
3 Ba 0.500 0.250 0.125
4 Ba 0.500 0.750 0.875
5 Co 0.000 0.000 0.000
6 Co 0.000 0.500 0.000
7 Co 0.250 0.250 0.750
8 Co 0.250 0.750 0.250
9 Co 0.500 0.000 0.500
10 Co 0.500 0.500 0.500
11 Co 0.750 0.250 0.750
12 Co 0.750 0.750 0.250
13 I 0.000 0.250 0.875
14 I 0.000 0.750 0.125
15 I 0.500 0.250 0.625
16 I 0.500 0.750 0.375

Values from the calculation:
ΔE to the lowest computed polymorph, meV/atom: 0

Record 17
BaCoI | PBE-GGA | optimized geometry

Lattice parameters (Å, degrees): 5.109 4.227 9.949 90.00 90.11 90.00
Fractional coordinates of all 6 atoms:
1 Ba 0.000 0.000 0.000
2 Ba 0.499 0.500 0.420
3 Co 0.500 0.500 0.091
4 Co 0.501 0.000 0.178
5 I 0.499 0.500 0.826
6 I 0.999 0.000 0.541

Values from the calculation:
ΔE to the lowest computed polymorph, meV/atom: 50

Record 18
BaCoI2N | PBE-GGA | optimized geometry

Lattice parameters (Å, degrees): 5.897 5.897 3.668 90.00 90.00 90.00
Fractional coordinates of all 5 atoms:
1 Ba 0.000 0.000 0.000
2 Co 0.500 0.500 0.500
3 I 0.000 0.500 0.500
4 I 0.500 0.000 0.500
5 N 0.500 0.500 0.000

Values from the calculation:
ΔE to the lowest computed polymorph, meV/atom: 0

Record 19
Ba2CoIN | PBE-GGA | optimized geometry

Lattice parameters (Å, degrees): 5.974 5.974 3.661 90.00 90.00 90.00
Fractional coordinates of all 5 atoms:
1 Ba 0.000 0.500 0.000
2 Ba 0.500 0.000 0.000
3 Co 0.000 0.000 0.500
4 I 0.500 0.500 0.500
5 N 0.000 0.000 0.000

Record 20
BaCoI2N | PBE-GGA | optimized geometry

Lattice parameters (Å, degrees): 6.748 6.748 4.755 90.00 90.00 90.00
Fractional coordinates of all 5 atoms:
1 Ba 0.000 0.000 0.000
2 Co 0.500 0.500 0.500
3 I 0.000 0.500 0.000
4 I 0.500 0.000 0.000
5 N 0.000 0.000 0.500

Values from the calculation:
ΔE to the lowest computed polymorph, meV/atom: 1220

Record 21
Ba2CoOsI | PBE-GGA | optimized geometry

Lattice parameters (Å, degrees): 5.864 5.864 4.702 90.00 90.00 90.00
Fractional coordinates of all 5 atoms:
1 Ba 0.000 0.500 0.000
2 Ba 0.500 0.000 0.000
3 Co 0.000 0.000 0.000
4 Os 0.500 0.500 0.500
5 I 0.000 0.000 0.500

Values from the calculation:
ΔE to the lowest computed polymorph, meV/atom: 754

Record 22
Ba2CoOsI | PBE-GGA | optimized geometry

Lattice parameters (Å, degrees): 6.197 6.197 4.457 90.00 90.00 90.00
Fractional coordinates of all 5 atoms:
1 Ba 0.000 0.500 0.000
2 Ba 0.500 0.000 0.000
3 Co 0.000 0.000 0.500
4 Os 0.000 0.000 0.000
5 I 0.500 0.500 0.500

Values from the calculation:
ΔE to the lowest computed polymorph, meV/atom: 0

Record 23
Rb2BaCoI6 | PBE-GGA | optimized geometry

Lattice parameters (Å, degrees): 8.712 8.712 8.712 60.00 60.00 60.00
Fractional coordinates of all 10 atoms:
1 Rb 0.250 0.250 0.250
2 Rb 0.750 0.750 0.750
3 Ba 0.000 0.000 0.000
4 Co 0.500 0.500 0.500
5 I 0.273 0.273 0.727
6 I 0.273 0.727 0.273
7 I 0.273 0.727 0.727
8 I 0.727 0.273 0.273
9 I 0.727 0.273 0.727
10 I 0.727 0.727 0.273

Energy relative to the elements, uncorrected in eV per atom, matching the order above: 0.81; 0.07; 0.15; -0.59; -0.19; -0.39; 0.11; 0.92; -0.17; 2.03; -0.44; -0.36; 0.30; -0.39; -0.48; 0.32; -0.43; -0.25; -0.67; 0.97; 0.81; 0.06; -1.02
Magnetic moment in μB/f.u., matching the order above: 2.75; 0.92; 0.00; 11.00; 0.00; 1.01; 1.11; 2.15; 0.00; 3.87; 1.23; 1.00; 0.00; 1.20; 1.28; 1.05; 1.13; 0.80; 0.00; 3.87; 2.00; 1.22; 3.00